Density functional theory data (PBE with a Hubbard U) for a relaxed Co2Ag2F7 crystal.

Results
* total magnetic moment: 0.640 μB/atom
* excess energy over the best structure of this formula in the dataset: 0 meV/atom
* calculated total energy: -0.310 Ry per atom
* volume: 290.99 Å³ per cell

CIF file:
```
data_Co2Ag2F7
_cell_length_a 8.1205
_cell_length_b 6.6104
_cell_length_c 5.4284
_cell_angle_alpha 90.00
_cell_angle_beta 93.02
_cell_angle_gamma 90.00
_space_group_name_H-M_alt 'C 1 2/m 1'
_space_group_IT_number 12
loop_
_space_group_symop_operation_xyz
'x,y,z'
'-x,-y,-z'
'-x,y,-z'
'x,-y,z'
'x+1/2,y+1/2,z'
'-x+1/2,-y+1/2,-z'
'-x+1/2,y+1/2,-z'
'x+1/2,-y+1/2,z'
loop_
_atom_site_label
_atom_site_fract_x
_atom_site_fract_y
_atom_site_fract_z
Co1 0.2478 0.0000 0.4813
Ag1 0.0000 0.2766 0.0000
F1 0.0000 0.5000 0.5000
F2 0.0541 0.0000 0.2740
F3 0.2275 0.2233 0.7282
```